No. 1
Material: TbCdCuPd
Method: DFT, PBE
State: relaxed

Computed properties:
* DFT total energy: -66.48 eV per cell
* theoretical density: 9.47 Mg/m³
* space group: No. 216
* ΔE_f: -1.8 eV per formula unit

```
TbCdCuPd
1.0
6.7636 0.0000 0.0000
0.0000 6.7636 0.0000
0.0000 0.0000 6.7636
Tb Cd Cu Pd
4 4 4 4
direct
0.0000 0.0000 0.0000
0.0000 0.5000 0.5000
0.5000 0.0000 0.5000
0.5000 0.5000 0.0000
0.0000 0.0000 0.5000
0.0000 0.5000 0.0000
0.5000 0.0000 0.0000
0.5000 0.5000 0.5000
0.2500 0.2500 0.2500
0.2500 0.7500 0.7500
0.7500 0.2500 0.7500
0.7500 0.7500 0.2500
0.2500 0.2500 0.7500
0.2500 0.7500 0.2500
0.7500 0.2500 0.2500
0.7500 0.7500 0.7500
```

No. 2
Material: TiCd2CuPd
Method: DFT, PBE
State: relaxed

Computed properties:
* DFT total energy: -16.43 eV per cell
* theoretical density: 6.96 Mg/m³
* space group: No. 123
* ΔE_f: 2.6 eV per formula unit

```
TiCd2CuPd
1.0
4.7933 0.0000 0.0000
0.0000 4.7933 0.0000
0.0000 0.0000 4.5961
Ti Cd Cu Pd
1 2 1 1
direct
0.0000 0.0000 0.0000
0.0000 0.5000 0.5000
0.5000 0.0000 0.5000
0.0000 0.0000 0.5000
0.5000 0.5000 0.0000
```

No. 3
Material: TiCdCuPd
Method: DFT, PBE
State: relaxed

Computed properties:
* DFT total energy: -75.99 eV per cell
* theoretical density: 8.56 Mg/m³
* space group: No. 216
* ΔE_f: -0.9 eV per formula unit

```
TiCdCuPd
1.0
6.3505 0.0000 0.0000
0.0000 6.3505 0.0000
0.0000 0.0000 6.3505
Ti Cd Cu Pd
4 4 4 4
direct
0.0000 0.0000 0.0000
0.0000 0.5000 0.5000
0.5000 0.0000 0.5000
0.5000 0.5000 0.0000
0.0000 0.0000 0.5000
0.0000 0.5000 0.0000
0.5000 0.0000 0.0000
0.5000 0.5000 0.5000
0.2500 0.2500 0.2500
0.2500 0.7500 0.7500
0.7500 0.2500 0.7500
0.7500 0.7500 0.2500
0.2500 0.2500 0.7500
0.2500 0.7500 0.2500
0.7500 0.2500 0.2500
0.7500 0.7500 0.7500
```

No. 4
Material: TlCd2Cu2Pd5
Method: DFT, PBE
State: relaxed

Computed properties:
* DFT total energy: -80.11 eV per cell
* theoretical density: 10.59 Mg/m³
* space group: No. 127
* ΔE_f: -1.7 eV per formula unit

```
TlCd2Cu2Pd5
1.0
9.2710 0.0000 0.0000
0.0000 9.2710 0.0000
0.0000 0.0000 3.9719
Tl Cd Cu Pd
2 4 4 10
direct
0.0000 0.0000 0.0000
0.5000 0.5000 0.0000
0.1690 0.3310 0.0000
0.3310 0.8310 0.0000
0.6690 0.1690 0.0000
0.8310 0.6690 0.0000
0.1248 0.6248 0.0000
0.3752 0.1248 0.0000
0.6248 0.8752 0.0000
0.8752 0.3752 0.0000
0.0000 0.5000 0.5000
0.0832 0.7990 0.5000
0.2010 0.0832 0.5000
0.2990 0.5832 0.5000
0.4168 0.2990 0.5000
0.5000 0.0000 0.5000
0.5832 0.7010 0.5000
0.7010 0.4168 0.5000
0.7990 0.9168 0.5000
0.9168 0.2010 0.5000
```

No. 5
Material: TmCdCuPd
Method: DFT, PBE
State: relaxed

Computed properties:
* DFT total energy: -66.16 eV per cell
* theoretical density: 10.03 Mg/m³
* space group: No. 216
* ΔE_f: -1.9 eV per formula unit

```
TmCdCuPd
1.0
6.6863 0.0000 0.0000
0.0000 6.6863 0.0000
0.0000 0.0000 6.6863
Tm Cd Cu Pd
4 4 4 4
direct
0.0000 0.0000 0.0000
0.0000 0.5000 0.5000
0.5000 0.0000 0.5000
0.5000 0.5000 0.0000
0.0000 0.0000 0.5000
0.0000 0.5000 0.0000
0.5000 0.0000 0.0000
0.5000 0.5000 0.5000
0.2500 0.2500 0.2500
0.2500 0.7500 0.7500
0.7500 0.2500 0.7500
0.7500 0.7500 0.2500
0.2500 0.2500 0.7500
0.2500 0.7500 0.2500
0.7500 0.2500 0.2500
0.7500 0.7500 0.7500
```

No. 6
Material: YCdCuPd
Method: DFT, PBE
State: relaxed

Computed properties:
* DFT total energy: -73.83 eV per cell
* theoretical density: 7.99 Mg/m³
* space group: No. 216
* ΔE_f: -1.8 eV per formula unit

```
YCdCuPd
1.0
6.7573 0.0000 0.0000
0.0000 6.7573 0.0000
0.0000 0.0000 6.7573
Y Cd Cu Pd
4 4 4 4
direct
0.0000 0.0000 0.0000
0.0000 0.5000 0.5000
0.5000 0.0000 0.5000
0.5000 0.5000 0.0000
0.0000 0.0000 0.5000
0.0000 0.5000 0.0000
0.5000 0.0000 0.0000
0.5000 0.5000 0.5000
0.2500 0.2500 0.7500
0.2500 0.7500 0.2500
0.7500 0.2500 0.2500
0.7500 0.7500 0.7500
0.2500 0.2500 0.2500
0.2500 0.7500 0.7500
0.7500 0.2500 0.7500
0.7500 0.7500 0.2500
```

> Which formula does entry 4 have?

TlCd2Cu2Pd5

> Which of these has the lowest ΔE_f?

TmCdCuPd

> The lowest DFT total energy belongs to which entry?

TlCd2Cu2Pd5

> The lowest theoretical density belongs to which entry?

TiCd2CuPd